Record 1
# Ca4ZrCo (PBE-GGA, relaxed)
data_Ca4ZrCo
_chemical_formula_sum 'Ca16 Zr4 Co4'
_space_group_name_H-M_alt 'F -4 3 m'
_space_group_IT_number 216
_space_group_name_Hall 'F -4 2 3'
_cell_length_a 9.176
_cell_length_b 9.176
_cell_length_c 9.176
_cell_angle_alpha 90.00
_cell_angle_beta 90.00
_cell_angle_gamma 90.00
loop_
_atom_site_label
_atom_site_fract_x
_atom_site_fract_y
_atom_site_fract_z
Ca1 0.125 0.125 0.125
Zr1 0.000 0.000 0.500
Co1 0.250 0.250 0.750
# * E_form: 1.023 eV/atom
# * electronic total energy: -70.09 eV for the cell shown
# * crystal system: cubic
# * M_tot: 4.5 μB/f.u.

---

Record 2
# Ca2ZrCo2 (PBE-GGA, relaxed)
data_Ca2ZrCo2
_chemical_formula_sum 'Ca4 Zr2 Co4'
_space_group_name_H-M_alt 'I 4/m m m'
_space_group_IT_number 139
_space_group_name_Hall '-I 4 2'
_cell_length_a 4.741
_cell_length_b 4.741
_cell_length_c 9.215
_cell_angle_alpha 90.00
_cell_angle_beta 90.00
_cell_angle_gamma 90.00
loop_
_atom_site_label
_atom_site_fract_x
_atom_site_fract_y
_atom_site_fract_z
Ca1 0.000 0.000 0.147
Zr1 0.000 0.000 0.500
Co1 0.000 0.500 0.250
# * E_form: 0.820 eV/atom
# * ΔE to the lowest computed polymorph: 670.3 meV per atom
# * electronic total energy: -45.33 eV for the cell shown
# * crystal system: tetragonal
# * M_tot: 0.6 μB/f.u.

---

Record 3
# Ca2ZrCo (PBE-GGA, relaxed)
data_Ca2ZrCo
_chemical_formula_sum 'Ca2 Zr1 Co1'
_space_group_name_H-M_alt 'P 4/m m m'
_space_group_IT_number 123
_space_group_name_Hall '-P 4 2'
_cell_length_a 3.248
_cell_length_b 3.248
_cell_length_c 9.217
_cell_angle_alpha 90.00
_cell_angle_beta 90.00
_cell_angle_gamma 90.00
loop_
_atom_site_label
_atom_site_fract_x
_atom_site_fract_y
_atom_site_fract_z
Ca1 0.000 0.000 0.198
Zr1 0.500 0.500 0.500
Co1 0.500 0.500 0.000
# * E_form: 0.469 eV/atom
# * ΔE to the lowest computed polymorph: 417.3 meV per atom
# * electronic total energy: -17.78 eV for the cell shown
# * crystal system: tetragonal
# * M_tot: 1.2 μB/f.u.

---

Record 4
# Ca2ZrCo (PBE-GGA, relaxed)
data_Ca2ZrCo
_chemical_formula_sum 'Ca2 Zr1 Co1'
_space_group_name_H-M_alt 'P 1 2/m 1'
_space_group_IT_number 10
_space_group_name_Hall '-P 2y'
_cell_length_a 3.372
_cell_length_b 4.800
_cell_length_c 5.949
_cell_angle_alpha 90.00
_cell_angle_beta 102.00
_cell_angle_gamma 90.00
loop_
_atom_site_label
_atom_site_fract_x
_atom_site_fract_y
_atom_site_fract_z
Ca1 0.109 0.000 0.273
Zr1 0.500 0.500 0.000
Co1 0.500 0.500 0.500
# * E_form: 0.578 eV/atom
# * ΔE to the lowest computed polymorph: 526.6 meV per atom
# * electronic total energy: -17.34 eV for the cell shown
# * crystal system: monoclinic
# * M_tot: 0.0 μB/f.u.

---

Record 5
# Ca2ZrCo (PBE-GGA, relaxed)
data_Ca2ZrCo
_chemical_formula_sum 'Ca4 Zr2 Co2'
_space_group_name_H-M_alt 'I m m m'
_space_group_IT_number 71
_space_group_name_Hall '-I 2 2'
_cell_length_a 3.322
_cell_length_b 3.885
_cell_length_c 17.222
_cell_angle_alpha 90.00
_cell_angle_beta 90.00
_cell_angle_gamma 90.00
loop_
_atom_site_label
_atom_site_fract_x
_atom_site_fract_y
_atom_site_fract_z
Ca1 0.000 0.000 0.158
Zr1 0.000 0.500 0.000
Co1 0.000 0.500 0.500
# * E_form: 0.153 eV/atom
# * ΔE to the lowest computed polymorph: 101.2 meV per atom
# * electronic total energy: -38.09 eV for the cell shown
# * crystal system: orthorhombic
# * M_tot: 0.0 μB/f.u.

---

Record 6
# Ca2ZrCo (PBE-GGA, relaxed)
data_Ca2ZrCo
_chemical_formula_sum 'Ca2 Zr1 Co1'
_space_group_name_H-M_alt 'P m m m'
_space_group_IT_number 47
_space_group_name_Hall '-P 2 2'
_cell_length_a 3.267
_cell_length_b 4.750
_cell_length_c 6.037
_cell_angle_alpha 90.00
_cell_angle_beta 90.00
_cell_angle_gamma 90.00
loop_
_atom_site_label
_atom_site_fract_x
_atom_site_fract_y
_atom_site_fract_z
Ca1 0.000 0.000 0.232
Zr1 0.500 0.500 0.500
Co1 0.500 0.500 0.000
# * E_form: 0.603 eV/atom
# * ΔE to the lowest computed polymorph: 550.8 meV per atom
# * electronic total energy: -17.25 eV for the cell shown
# * crystal system: orthorhombic
# * M_tot: 0.0 μB/f.u.

---

Record 7
# CaZrCo (PBE-GGA, relaxed)
data_CaZrCo
_chemical_formula_sum 'Ca2 Zr2 Co2'
_space_group_name_H-M_alt 'I 4 m m'
_space_group_IT_number 107
_space_group_name_Hall 'I 4 -2'
_cell_length_a 3.299
_cell_length_b 3.299
_cell_length_c 12.318
_cell_angle_alpha 90.00
_cell_angle_beta 90.00
_cell_angle_gamma 90.00
loop_
_atom_site_label
_atom_site_fract_x
_atom_site_fract_y
_atom_site_fract_z
Ca1 0.000 0.000 0.000
Zr1 0.000 0.000 0.264
Co1 0.000 0.000 0.668
# * E_form: 0.049 eV/atom
# * ΔE to the lowest computed polymorph: 0.0 meV per atom
# * electronic total energy: -35.02 eV for the cell shown
# * crystal system: tetragonal
# * M_tot: 0.8 μB/f.u.

---

Record 8
# Ca2ZrCo (PBE-GGA, relaxed)
data_Ca2ZrCo
_chemical_formula_sum 'Ca8 Zr4 Co4'
_space_group_name_H-M_alt 'I -4 2 d'
_space_group_IT_number 122
_space_group_name_Hall 'I -4 2bw'
_cell_length_a 10.346
_cell_length_b 10.346
_cell_length_c 4.680
_cell_angle_alpha 90.00
_cell_angle_beta 90.00
_cell_angle_gamma 90.00
loop_
_atom_site_label
_atom_site_fract_x
_atom_site_fract_y
_atom_site_fract_z
Ca1 0.104 0.750 0.125
Zr1 0.000 0.000 0.500
Co1 0.000 0.000 0.000
# * E_form: 0.480 eV/atom
# * ΔE to the lowest computed polymorph: 428.0 meV per atom
# * electronic total energy: -70.95 eV for the cell shown
# * crystal system: tetragonal
# * M_tot: 0.0 μB/f.u.